# 1
VASP calculation (PBE-GGA) on a relaxed structure of Cs2PrInSe4.

Cell lengths 9.1851, 9.1851, 9.1851 Å; angles 120.96, 119.96, 89.21 degrees
Last column: nearest neighbours and their distance in Å.
Element x y z (fractional)
Cs  0.0000  0.0000  0.0000  6 Se 3.47-3.50
Cs  0.5000  0.0000  0.0000  6 Se 3.57
Cs  0.5000  0.0000  0.5000  6 Se 3.47-3.50
Cs  0.5000  0.5000  0.5000  6 Se 3.57
Pr  0.0000  0.5000  0.5000  6 Se 3.02-3.10
Pr  0.5000  0.5000  0.0000  6 Se 3.02-3.10
In  0.0000  0.0000  0.5000  6 Se 2.93-3.00
In  0.0000  0.5000  0.0000  6 Se 2.93-3.00
Se  0.1851  0.7344  0.4507  2 In 2.93, 1 Pr 3.10
Se  0.2164  0.2656  0.9507  2 In 2.93, 1 Pr 3.10
Se  0.2282  0.2632  0.5350  1 In 3.00, 2 Pr 3.02
Se  0.2282  0.6932  0.9650  1 In 3.00, 2 Pr 3.02
Se  0.7718  0.3068  0.0350  1 In 3.00, 2 Pr 3.02
Se  0.7718  0.7368  0.4650  1 In 3.00, 2 Pr 3.02
Se  0.7836  0.7344  0.0493  2 In 2.93, 1 Pr 3.10
Se  0.8149  0.2656  0.5493  2 In 2.93, 1 Pr 3.10

Theoretical density: 5.1 Mg/m³
Total moment: 0.0 Bohr magnetons per cell
Formation energy (no corrections): -1149 meV per atom
D(E_F): 4.08 states/eV per cell
Symmetry: Imma (74)

=====

# 2
VASP calculation (PBE-GGA) on a relaxed structure of LiCeBr4.

Cell lengths 9.6380, 9.6380, 7.0840 Å; angles 104.96, 104.96, 128.07 degrees
Last column: nearest neighbours and their distance in Å.
Element x y z (fractional)
Li  0.1587  0.8413  0.7500  2 Br 2.54
Li  0.8413  0.1587  0.2500  2 Br 2.54
Ce  0.3340  0.6660  0.2500  6 Br 2.80-3.06
Ce  0.6660  0.3340  0.7500  6 Br 2.80-3.06
Br  0.0387  0.4469  0.7437  2 Li 2.93-3.20, 2 Ce 2.97-3.06
Br  0.1749  0.3110  0.2641  1 Li 2.54, 1 Ce 2.80
Br  0.3110  0.1749  0.7641  1 Li 2.54, 1 Ce 2.80
Br  0.4469  0.0387  0.2437  2 Li 2.93-3.20, 2 Ce 2.97-3.06
Br  0.5531  0.9613  0.7563  2 Li 2.93-3.20, 2 Ce 2.97-3.06
Br  0.6890  0.8251  0.2359  1 Li 2.54, 1 Ce 2.80
Br  0.8251  0.6890  0.7359  1 Li 2.54, 1 Ce 2.80
Br  0.9613  0.5531  0.2563  2 Li 2.93-3.20, 2 Ce 2.97-3.06

Theoretical density: 3.7 Mg/m³
Total moment: 2.0 Bohr magnetons per cell
Formation energy (no corrections): -1667 meV per atom
D(E_F): 16.01 states/eV per cell
Symmetry: C2/c (15)